CeNd2OsN4 | Alexandria via LeMat-Bulk | PBE-GGA | optimized geometry; crystal system = orthorhombic; ΔE_f (raw) = -0.8223 eV/atom
1.0
3.459 0.000 0.000
-1.729 5.953 0.000
0.000 0.000 12.097
Nd N Os Ce
4 8 2 2
Cartesian
0.000 4.382 6.596
1.729 1.571 5.500
0.000 4.382 11.549
1.729 1.571 0.548
0.000 3.303 1.689
0.000 0.000 6.048
1.729 2.650 10.408
1.729 0.647 3.024
1.729 2.650 7.737
0.000 0.000 0.000
0.000 3.303 4.360
0.000 5.306 9.072
1.729 4.188 9.072
0.000 1.765 3.024
0.000 1.343 9.072
1.729 4.610 3.024

Ce2NdOsN4 | Alexandria via LeMat-Bulk | PBE-GGA | optimized geometry; crystal system = orthorhombic; ΔE_f (raw) = -0.9696 eV/atom
1.0
3.425 0.000 0.000
-1.713 5.995 0.000
0.000 0.000 11.806
N Os Ce Nd
8 2 4 2
Cartesian
1.713 0.569 2.951
0.000 0.000 5.903
0.000 3.242 4.412
0.000 5.426 8.854
1.713 2.752 7.394
0.000 3.242 1.491
0.000 0.000 0.000
1.713 2.752 10.315
0.000 1.789 2.951
1.713 4.206 8.854
0.000 4.418 6.479
1.713 1.577 5.327
0.000 4.418 11.229
1.713 1.577 0.576
1.713 4.664 2.951
0.000 1.331 8.854

Ce2NdOsN5 | Alexandria via LeMat-Bulk | PBE-GGA | optimized geometry; crystal system = tetragonal; ΔE_f (raw) = -0.9192 eV/atom
1.0
-6.556 -0.435 0.888
-0.848 -0.587 -6.550
4.151 -5.298 3.294
N Nd Ce Os
10 2 4 2
Cartesian
-4.848 -2.398 -4.874
-3.702 -0.511 -2.831
0.000 0.000 0.000
2.504 -4.127 -0.949
-1.397 -2.061 -3.985
-0.947 -4.464 -1.838
1.594 -3.922 2.506
-5.758 -2.193 -1.418
-2.307 -1.856 -0.530
-1.857 -4.259 1.618
-3.478 -3.416 -2.599
0.224 -2.905 0.231
-4.593 -0.399 -0.561
-1.438 -0.267 -1.954
-2.812 -0.623 -5.100
-5.967 -0.756 -3.707
-0.200 -3.198 -3.043
-3.054 -3.122 0.676

Ce4Nd2P3N2 | Alexandria via LeMat-Bulk | PBE-GGA | optimized geometry; crystal system = tetragonal; ΔE_f (raw) = -1.2055 eV/atom
1.0
4.557 0.000 0.000
0.000 4.557 0.000
-2.278 -2.278 12.006
Ce Nd P N
4 2 3 2
Cartesian
2.278 0.000 1.907
2.278 0.000 10.098
0.000 2.278 10.098
0.000 2.278 1.907
0.000 0.000 7.181
2.278 2.278 4.824
2.278 2.278 7.856
0.000 0.000 4.149
0.000 0.000 0.000
0.000 0.000 9.586
2.278 2.278 2.419

Ce2NdPN5 | Alexandria via LeMat-Bulk | PBE-GGA | optimized geometry; crystal system = tetragonal; ΔE_f (raw) = -1.3040 eV/atom
1.0
-1.239 -4.040 5.123
5.857 -2.987 -0.939
0.053 7.080 1.292
Nd Ce N P
2 4 10 2
Cartesian
3.490 -1.730 3.784
1.181 1.784 1.692
4.398 -3.730 0.862
1.639 -1.685 0.632
2.979 -5.342 3.552
0.220 -3.297 3.322
4.288 -1.360 1.145
-0.866 -1.067 4.434
1.649 -0.514 5.478
5.537 1.121 1.042
0.383 1.413 4.331
2.309 -3.513 2.092
0.000 0.000 0.000
1.080 -0.778 2.771
3.022 0.568 -0.002
3.591 0.832 2.705
0.562 -0.236 4.254
4.109 0.290 1.222

Ce2NdP2N6 | Alexandria via LeMat-Bulk | PBE-GGA | optimized geometry; crystal system = trigonal; ΔE_f (raw) = -0.8754 eV/atom
1.0
5.997 0.000 0.000
-2.998 5.194 0.000
0.000 0.000 5.882
N P Ce Nd
6 2 2 1
Cartesian
3.857 0.434 4.709
3.692 3.123 4.709
-0.859 4.759 1.173
1.553 3.558 1.173
1.446 1.636 4.709
-0.694 2.070 1.173
0.000 3.462 1.789
2.998 1.731 4.093
0.000 3.462 4.885
2.998 1.731 0.997
0.000 0.000 0.000

no.,magnetization (μB per atom)
1,0.00
2,0.00
3,0.00
4,0.21
5,0.12
6,0.00